[1]
TlVF3: relaxed, GGA-PBEsol.

Cell: 4.1480 4.1480 4.1480 Å, 90.00 90.00 90.00°
Space group Pm-3m (No. 221)
Asymmetric unit:
Tl: 0.0000 0.0000 0.0000 x1
V: 0.5000 0.5000 0.5000 x1
F: 0.0000 0.5000 0.5000 x3

Calculated values
ΔE_f (raw) = -2142 meV/atom
E_tot = -28.8 eV/f.u.
M_tot = 2.99 μB per formula unit
Fermi-level density of states = 0.279 states/eV/atom

[2]
LiAg5: relaxed, GGA-PBEsol.

Cell: 4.0053 11.9803 4.0471 Å, 90.00 90.00 90.00°
Space group Cmmm (No. 65)
Asymmetric unit:
Li: 0.0000 0.0000 0.0000 x2
Ag: 0.0000 0.1653 0.5000 x4
Ag: 0.0000 0.3359 0.0000 x4
Ag: 0.0000 0.5000 0.5000 x2

Calculated values
Formation energy from the elements = -0.086 eV per atom
E_tot = -19.0 eV/f.u.
M_tot = 0.00 μB per formula unit
Fermi-level density of states = 0.315 states/eV/atom
Excess energy over the best structure of this formula in the dataset = 0 meV per atom